Material: Rb3V2HgO8
Method: DFT, PBE with a Hubbard U
State: relaxed

Cell lengths 6.1229, 6.1229, 8.0066 Å; angles 90.00, 90.00, 120.00 degrees
With the nearest neighbours (Å) after each atom.
Fractional coordinates of all 14 atoms:
O  0.3333  0.6667  0.0333  1 V 1.71
Rb  0.0000  0.0000  0.0000  6 O 3.15
Rb  0.3333  0.6667  0.6867  7 O 2.78-3.06
V  0.3333  0.6667  0.2470  4 O 1.71-1.76
O  0.1764  0.8236  0.3167  1 V 1.76
O  0.1764  0.3529  0.3167  1 V 1.76
O  0.6471  0.8236  0.3167  1 V 1.76
O  0.3529  0.1764  0.6833  1 V 1.76
O  0.8236  0.6471  0.6833  1 V 1.76
O  0.6667  0.3333  0.9667  1 V 1.71
Rb  0.6667  0.3333  0.3133  7 O 2.78-3.06
O  0.8236  0.1764  0.6833  1 V 1.76
Hg  0.0000  0.0000  0.5000  6 O 2.38
V  0.6667  0.3333  0.7530  4 O 1.71-1.76

The calculation puts the total magnetic moment at 1.099 μB per formula unit. The energy comes out at -80.0 eV for the cell shown. As for the volume: 260 Å³/cell. As for the space-group type: No. 164.